DFT (PBE-GGA) results for crystalline PrDy2ScIn4 at its relaxed geometry.

Cell lengths 9.2346, 9.2346, 9.2346 Å; angles 33.32, 33.32, 33.32 degrees
Fractional positions:
Pr 0.0000 0.0000 0.0000
Dy 0.2487 0.2487 0.2487
Dy 0.7513 0.7513 0.7513
Sc 0.5000 0.5000 0.5000
In 0.1281 0.1281 0.1281
In 0.3787 0.3787 0.3787
In 0.6213 0.6213 0.6213
In 0.8719 0.8719 0.8719

Computed properties:
- Space-group type: R-3m
- Total energy: -4.347 eV/atom